w | Computed, not measured: a relaxed ZnRhBr crystal at the PBE level of DFT.

spin magnetization: 0.00 μB/f.u.
density of states at the Fermi level: 2.01 states/eV per cell
crystal system: trigonal
symmetry: P3m1 (156)

a b c (Å): 4.359 4.359 3.249
angles (deg): 90.00 90.00 120.00
Fractional coordinates of all 3 atoms:
Zn 0.333 0.667 0.636
Rh 0.667 0.333 0.240
Br 0.000 0.000 0.123

x | Computed, not measured: a relaxed ZnRhBr crystal at the PBE level of DFT.

spin magnetization: 0.00 μB/f.u.
density of states at the Fermi level: 1.48 states/eV per cell
crystal system: cubic
symmetry: F-43m (216)

a b c (Å): 4.372 4.372 4.372
angles (deg): 60.00 60.00 60.00
Fractional coordinates of all 3 atoms:
Zn 0.750 0.750 0.750
Br 0.000 0.000 0.000
Rh 0.500 0.500 0.500

y | Computed, not measured: a relaxed ZnRhBr crystal at the PBE level of DFT.

spin magnetization: 0.00 μB/f.u.
density of states at the Fermi level: 5.12 states/eV per cell
crystal system: orthorhombic
symmetry: Amm2 (38)

a b c (Å): 3.197 4.050 10.395
angles (deg): 90.00 90.00 113.25
Fractional coordinates of all 6 atoms:
Zn 0.459 0.919 0.000
Zn 0.424 0.849 0.500
Rh 0.712 0.425 0.628
Rh 0.712 0.425 0.372
Br 0.179 0.358 0.187
Br 0.179 0.358 0.813

Which is the most stable structure? y is the most stable.

w | Computed, not measured: a relaxed ZnRhBr crystal at the PBE level of DFT.

spin magnetization: 0.00 μB/f.u.
density of states at the Fermi level: 3.20 states/eV per cell
crystal system: tetragonal
symmetry: I4mm (107)

a b c (Å): 6.149 6.149 6.149
angles (deg): 150.54 150.54 42.16
Fractional coordinates of all 3 atoms:
Rh 0.318 0.318 0.000
Zn 0.702 0.702 0.000
Br 0.979 0.979 0.000

x | Computed, not measured: a relaxed ZnRhBr crystal at the PBE level of DFT.

spin magnetization: 0.45 μB/f.u.
density of states at the Fermi level: 3.18 states/eV per cell
crystal system: orthorhombic
symmetry: Fmm2 (42)

a b c (Å): 6.699 6.304 3.245
angles (deg): 82.43 68.88 28.70
Each line ends with the local moment (μB).
Fractional coordinates of all 3 atoms:
Zn 0.326 0.326 0.674  0.00
Br 0.001 0.001 0.999  0.04
Rh 0.673 0.673 0.327  0.40

Which is the most stable structure? w is the most stable.

w | Computed, not measured: a relaxed ZrRh2Br crystal at the PBE level of DFT.

spin magnetization: 0.00 μB/f.u.
density of states at the Fermi level: 2.66 states/eV per cell
crystal system: monoclinic
symmetry: P2/m (10)

a b c (Å): 3.209 3.454 7.253
angles (deg): 89.63 90.00 90.00
Fractional coordinates of all 4 atoms:
Rh 0.000 0.752 0.052
Rh 0.000 0.748 0.448
Zr 0.500 0.250 0.250
Br 0.500 0.750 0.750

x | Computed, not measured: a relaxed ZrRh2Br crystal at the PBE level of DFT.

spin magnetization: 0.00 μB/f.u.
density of states at the Fermi level: 3.61 states/eV per cell
crystal system: tetragonal
symmetry: I-4m2 (119)

a b c (Å): 5.244 5.244 5.244
angles (deg): 135.65 135.65 64.52
Fractional coordinates of all 4 atoms:
Br 0.750 0.250 0.500
Zr 0.500 0.500 0.000
Rh 0.000 0.000 0.000
Rh 0.250 0.750 0.500

y | Computed, not measured: a relaxed ZrRh2Br crystal at the PBE level of DFT.

spin magnetization: 0.00 μB/f.u.
density of states at the Fermi level: 1.85 states/eV per cell
crystal system: cubic
symmetry: Fm-3m (225)

a b c (Å): 4.643 4.643 4.643
angles (deg): 60.00 60.00 60.00
Fractional coordinates of all 4 atoms:
Zr 0.500 0.500 0.500
Br 0.000 0.000 0.000
Rh 0.750 0.750 0.750
Rh 0.250 0.250 0.250

Which is the most stable structure? w is the most stable.

w | Computed, not measured: a relaxed ZrRh2Br crystal at the PBE level of DFT.

spin magnetization: 0.00 μB/f.u.
density of states at the Fermi level: 5.46 states/eV per cell
crystal system: cubic
symmetry: F-43m (216)

a b c (Å): 4.619 4.619 4.619
angles (deg): 60.00 60.00 60.00
Fractional coordinates of all 4 atoms:
Zr 0.250 0.250 0.250
Rh 0.750 0.750 0.750
Rh 0.000 0.000 0.000
Br 0.500 0.500 0.500

x | Computed, not measured: a relaxed ZrRh2Br crystal at the PBE level of DFT.

spin magnetization: 0.00 μB/f.u.
density of states at the Fermi level: 3.14 states/eV per cell
crystal system: tetragonal
symmetry: P4/mmm (123)

a b c (Å): 3.850 4.261 4.261
angles (deg): 90.00 90.00 90.00
Fractional coordinates of all 4 atoms:
Br 0.500 0.000 0.500
Rh 0.000 0.500 0.500
Rh 0.000 0.000 0.000
Zr 0.500 0.500 0.000

Which is the most stable structure? x is the most stable.